# 1
Material: TiAlFe3
Method: DFT, PBE-GGA
State: relaxed

a = 4.271 Å, b = 4.271 Å, c = 4.271 Å
α = 90.00°, β = 90.00°, γ = 90.00°
Space group Pm-3m (No. 221)
Symmetry-distinct sites (fractional):
Ti1 0.000 0.000 0.000 x1
Al1 0.500 0.500 0.500 x1
Fe1 0.000 0.500 0.500 x3

Output
Total magnetization in μB per atom: 0.91
Volume in Å³ per atom: 15.581
Energy relative to the elements in eV per formula unit: 4.20
DOS at the Fermi energy in states/eV per atom: 1.265


# 2
Material: Zr2MnFe2
Method: DFT, PBE-GGA
State: relaxed

a = 3.150 Å, b = 3.150 Å, c = 15.989 Å
α = 90.00°, β = 90.00°, γ = 90.00°
Space group I4/mmm (No. 139)
Symmetry-distinct sites (fractional):
Zr1 0.000 0.000 0.100 x4
Mn1 0.000 0.000 0.500 x2
Fe1 0.000 0.500 0.250 x4

Output
Total magnetization in μB per atom: 0.00
Volume in Å³ per atom: 15.867
Energy relative to the elements in eV per formula unit: 1.32
DOS at the Fermi energy in states/eV per atom: 1.702


# 3
Material: CeSm4Y
Method: DFT, PBE-GGA
State: relaxed

a = 6.714 Å, b = 11.702 Å, c = 10.211 Å
α = 90.00°, β = 90.00°, γ = 90.00°
Space group Imma (No. 74)
Symmetry-distinct sites (fractional):
Ce1 0.000 0.000 0.000 x4
Sm1 0.000 0.001 0.332 x8
Sm2 0.247 0.250 0.081 x8
Y1 0.250 0.250 0.750 x4

Output
Total magnetization in μB per atom: 0.25
Volume in Å³ per atom: 33.429
Energy relative to the elements in eV per formula unit: 1.59
DOS at the Fermi energy in states/eV per atom: 2.554


# 4
Material: CoMo2Ir
Method: DFT, PBE-GGA
State: relaxed

a = 5.424 Å, b = 6.703 Å, c = 6.255 Å
α = 90.00°, β = 90.00°, γ = 90.00°
Space group Imma (No. 74)
Symmetry-distinct sites (fractional):
Co1 0.000 0.250 0.041 x4
Mo1 0.250 0.048 0.750 x8
Ir1 0.000 0.250 0.445 x4

Output
Total magnetization in μB per atom: 0.00
Volume in Å³ per atom: 14.214
Energy relative to the elements in eV per formula unit: -0.24
DOS at the Fermi energy in states/eV per atom: 1.141


# 5
Material: Pm3Zn8Ir3
Method: DFT, PBE-GGA
State: relaxed

a = 4.235 Å, b = 9.531 Å, c = 12.887 Å
α = 90.00°, β = 90.00°, γ = 90.00°
Space group Immm (No. 71)
Symmetry-distinct sites (fractional):
Pm1 0.000 0.000 0.000 x2
Pm2 0.000 0.000 0.336 x4
Zn1 0.000 0.275 0.121 x8
Zn2 0.000 0.361 0.324 x8
Ir1 0.000 0.228 0.500 x4
Ir2 0.000 0.500 0.000 x2

Output
Total magnetization in μB per atom: 0.00
Volume in Å³ per atom: 18.581
Energy relative to the elements in eV per formula unit: -5.91
DOS at the Fermi energy in states/eV per atom: 0.473


# 6
Material: RbMnCuBr6
Method: DFT, PBE-GGA
State: relaxed

a = 6.615 Å, b = 6.729 Å, c = 7.620 Å
α = 93.89°, β = 95.70°, γ = 110.28°
Space group P1 (No. 1)
Symmetry-distinct sites (fractional):
Rb1 0.000 0.000 0.000 x1
Mn1 0.640 0.357 0.498 x1
Cu1 0.289 0.692 0.510 x1
Br1 0.344 0.023 0.684 x1
Br2 0.350 0.423 0.303 x1
Br3 0.575 0.625 0.706 x1
Br4 0.623 0.070 0.285 x1
Br5 0.944 0.366 0.706 x1
Br6 0.960 0.667 0.328 x1

Output
Total magnetization in μB per atom: 0.56
Volume in Å³ per atom: 34.965
Formation energy from raw total energies in meV per atom: -764
DOS at the Fermi energy in states/eV per atom: 0.105


# 7
Material: TbCd2Cu
Method: DFT, PBE-GGA
State: relaxed

a = 4.265 Å, b = 4.265 Å, c = 4.868 Å
α = 90.00°, β = 90.00°, γ = 90.00°
Space group P4/mmm (No. 123)
Symmetry-distinct sites (fractional):
Tb1 0.000 0.000 0.000 x1
Cd1 0.000 0.500 0.500 x2
Cu1 0.500 0.500 0.000 x1

Output
Total magnetization in μB per atom: 0.00
Volume in Å³ per atom: 22.138
Energy relative to the elements in eV per formula unit: -0.41
DOS at the Fermi energy in states/eV per atom: 0.615


# 8
Material: Pr6SmSe8
Method: DFT, PBE-GGA
State: relaxed

a = 12.015 Å, b = 12.015 Å, c = 12.015 Å
α = 90.00°, β = 90.00°, γ = 90.00°
Space group Fm-3m (No. 225)
Symmetry-distinct sites (fractional):
Pr1 0.000 0.250 0.250 x24
Sm1 0.000 0.000 0.000 x4
Se1 0.000 0.000 0.249 x24
Se2 0.250 0.250 0.250 x8

Output
Total magnetization in μB per atom: 0.00
Volume in Å³ per atom: 28.911
Formation energy from raw total energies in meV per atom: -1877
DOS at the Fermi energy in states/eV per atom: 0.481


# 9
Material: Sr2PmPt4Pb3
Method: DFT, PBE-GGA
State: relaxed

a = 4.825 Å, b = 4.825 Å, c = 11.365 Å
α = 90.00°, β = 90.00°, γ = 90.00°
Space group P-4m2 (No. 115)
Symmetry-distinct sites (fractional):
Sr1 0.000 0.500 0.219 x2
Pm1 0.000 0.000 0.500 x1
Pt1 0.000 0.000 0.000 x1
Pt2 0.000 0.500 0.641 x2
Pt3 0.500 0.500 0.000 x1
Pb1 0.000 0.500 0.880 x2
Pb2 0.500 0.500 0.500 x1

Output
Total magnetization in μB per atom: 0.00
Volume in Å³ per atom: 26.455
Energy relative to the elements in eV per formula unit: -6.15
DOS at the Fermi energy in states/eV per atom: 0.465


# 10
Material: KAcMgSe3
Method: DFT, PBE-GGA
State: relaxed

a = 9.412 Å, b = 4.508 Å, c = 10.328 Å
α = 90.00°, β = 102.09°, γ = 90.00°
Space group P2_1/m (No. 11)
Symmetry-distinct sites (fractional):
K1 0.178 0.250 0.197 x2
Ac1 0.339 0.750 0.846 x2
Mg1 0.081 0.250 0.601 x2
Se1 0.110 0.250 0.851 x2
Se2 0.190 0.750 0.528 x2
Se3 0.435 0.750 0.151 x2

Output
Total magnetization in μB per atom: 0.00
Volume in Å³ per atom: 35.704
Formation energy from raw total energies in meV per atom: -1580
DOS at the Fermi energy in states/eV per atom: 0.000


# 11
Material: TbMg3Tl3
Method: DFT, PBE-GGA
State: relaxed

a = 7.755 Å, b = 7.755 Å, c = 7.755 Å
α = 90.00°, β = 90.00°, γ = 90.00°
Space group Pm-3n (No. 223)
Symmetry-distinct sites (fractional):
Tb1 0.000 0.000 0.000 x2
Mg1 0.000 0.250 0.500 x6
Tl1 0.000 0.500 0.250 x6

Output
Total magnetization in μB per atom: 0.00
Volume in Å³ per atom: 33.317
Energy relative to the elements in eV per formula unit: 3.33
DOS at the Fermi energy in states/eV per atom: 0.993


# 12
Material: CsLiTe2
Method: DFT, PBE-GGA
State: relaxed

a = 5.744 Å, b = 7.615 Å, c = 8.193 Å
α = 106.20°, β = 105.41°, γ = 95.21°
Space group P-1 (No. 2)
Symmetry-distinct sites (fractional):
Cs1 0.113 0.166 0.338 x2
Li1 0.221 0.433 0.943 x2
Te1 0.250 0.657 0.292 x2
Te2 0.449 0.819 0.072 x2

Output
Total magnetization in μB per atom: 0.00
Volume in Å³ per atom: 40.805
Formation energy from raw total energies in meV per atom: -818
DOS at the Fermi energy in states/eV per atom: 0.000


no.,density (g/cm³)
1,5.2
2,7.3
3,6.9
4,12.9
5,9.8
6,3.6
7,8.4
8,6.2
9,10.8
10,4.1
11,6.0
12,4.0